No. 1
First-principles (PBE) data for KGaGe after structural relaxation, as listed in the Alexandria database.

Cell lengths 11.197, 13.362, 8.447 Å; angles 90.00, 90.00, 90.00 degrees
Space group Fdd2 (No. 43)
Symmetry-distinct sites (fractional):
K 0.123 0.376 0.000 [16 per cell]
Ga 0.115 0.250 0.374 [16 per cell]
Ge 0.000 0.164 0.124 [16 per cell]



No. 2
First-principles (PBE) data for MgTi after structural relaxation, as listed in the Alexandria database.

Cell lengths 7.583, 8.077, 10.645 Å; angles 90.00, 90.00, 90.00 degrees
Space group Fddd (No. 70, origin choice 2)
Symmetry-distinct sites (fractional):
Mg 0.125 0.299 0.125 [16 per cell]
Ti 0.030 0.375 0.875 [16 per cell]



No. 3
First-principles (PBE) data for LaAl2Cl after structural relaxation, as listed in the Alexandria database.

Computed properties:
Uncorrected formation energy, eV/f.u.: -0.55
ΔE to the lowest computed polymorph, meV per atom: 552

Cell lengths 3.3833, 3.3833, 28.4114 Å; angles 90.00, 90.00, 120.00 degrees
Space group R-3m (No. 166, hexagonal axes)
Symmetry-distinct sites (fractional):
La 0.0000 0.0000 0.0000 [3 per cell]
Al 0.0000 0.0000 0.2412 [6 per cell]
Cl 0.0000 0.0000 0.5000 [3 per cell]



No. 4
First-principles (PBE) data for HfFeCo2 after structural relaxation, as listed in the Alexandria database.

Cell lengths 4.985, 7.231, 7.270 Å; angles 90.00, 90.00, 90.00 degrees
Space group Pmma (No. 51)
Symmetry-distinct sites (fractional):
Hf 0.250 0.000 0.163 [2 per cell]
Hf 0.250 0.500 0.311 [2 per cell]
Fe 0.250 0.000 0.751 [2 per cell]
Fe 0.250 0.500 0.695 [2 per cell]
Co 0.000 0.000 0.500 [2 per cell]
Co 0.000 0.500 0.000 [2 per cell]
Co 0.250 0.243 0.926 [4 per cell]



No. 5
First-principles (PBE) data for DyCd4Pd15 after structural relaxation, as listed in the Alexandria database.

Cell lengths 4.057, 4.057, 20.181 Å; angles 90.00, 90.00, 90.00 degrees
Space group P4/mmm (No. 123)
Symmetry-distinct sites (fractional):
Dy 0.000 0.000 0.000 [1 per cell]
Cd 0.000 0.000 0.204 [2 per cell]
Cd 0.000 0.000 0.401 [2 per cell]
Pd 0.000 0.500 0.104 [4 per cell]
Pd 0.000 0.500 0.303 [4 per cell]
Pd 0.000 0.500 0.500 [2 per cell]
Pd 0.500 0.500 0.000 [1 per cell]
Pd 0.500 0.500 0.203 [2 per cell]
Pd 0.500 0.500 0.402 [2 per cell]



No. 6
First-principles (PBE) data for UTiTe2 after structural relaxation, as listed in the Alexandria database.

Computed properties:
Uncorrected formation energy, eV/f.u.: -0.42

Cell lengths 3.5368, 3.5368, 29.9700 Å; angles 90.00, 90.00, 120.00 degrees
Space group R-3m (No. 166, hexagonal axes)
Symmetry-distinct sites (fractional):
U 0.0000 0.0000 0.0000 [3 per cell]
Ti 0.0000 0.0000 0.5000 [3 per cell]
Te 0.0000 0.0000 0.1053 [6 per cell]



no.,energy (eV per cell)
1,-142.42
2,-135.45
3,-44.43
4,-121.78
5,-93.42
6,-77.66